Entry 1:
Entry from Alexandria via LeMat-Bulk: a relaxed MgSc2Cd3 crystal (PBE-GGA).

Cell: 4.858 7.340 7.696 Å, 90.00 108.19 90.00°
Space group P2/m (No. 10)
Asymmetric unit:
Mg1 0.164 0.000 0.330 (multiplicity 2)
Sc1 0.163 0.500 0.327 (multiplicity 2)
Sc2 0.500 0.000 0.000 (multiplicity 1)
Sc3 0.500 0.500 0.000 (multiplicity 1)
Cd1 0.000 0.244 0.000 (multiplicity 2)
Cd2 0.331 0.244 0.662 (multiplicity 4)

Values from the calculation:
Total DFT energy (no corrections): -3.08 eV/atom
D(E_F): 8.47 states/eV/cell
Offset from the most stable computed form: 0.00 kcal/mol of atoms
Formation enthalpy at 0 K: -0.244 eV/atom



Entry 2:
Entry from Alexandria via LeMat-Bulk: a relaxed LiP2Cl crystal (PBE-GGA).

Cell: 6.489 6.489 6.489 Å, 90.00 90.00 90.00°
Space group Fm-3m (No. 225)
Asymmetric unit:
Li1 0.000 0.000 0.000 (multiplicity 4)
P1 0.250 0.250 0.250 (multiplicity 8)
Cl1 0.000 0.000 0.500 (multiplicity 4)

Values from the calculation:
Total DFT energy (no corrections): -2.97 eV/atom
D(E_F): 9.26 states/eV/cell
Offset from the most stable computed form: 32.19 kcal/mol of atoms



Entry 3:
Entry from Alexandria via LeMat-Bulk: a relaxed ZrTcPS2 crystal (PBE-GGA).

Cell: 4.908 4.908 5.106 Å, 90.00 90.00 90.00°
Space group P4/mmm (No. 123)
Asymmetric unit:
Zr1 0.000 0.000 0.000 (multiplicity 1)
Tc1 0.500 0.500 0.500 (multiplicity 1)
P1 0.000 0.000 0.500 (multiplicity 1)
S1 0.000 0.500 0.000 (multiplicity 2)

Values from the calculation:
Total DFT energy (no corrections): -6.06 eV/atom
D(E_F): 3.31 states/eV/cell
Offset from the most stable computed form: 6.58 kcal/mol of atoms



Entry 4:
Entry from Alexandria via LeMat-Bulk: a relaxed TlIr4Br crystal (PBE-GGA).

Cell: 7.636 7.636 7.636 Å, 90.00 90.00 90.00°
Space group F-43m (No. 216)
Asymmetric unit:
Tl1 0.000 0.000 0.000 (multiplicity 4)
Ir1 0.125 0.125 0.375 (multiplicity 16)
Br1 0.250 0.250 0.750 (multiplicity 4)

Values from the calculation:
Total DFT energy (no corrections): -5.57 eV/atom
D(E_F): 46.06 states/eV/cell



Entry 5:
Entry from Alexandria via LeMat-Bulk: a relaxed Cs2BIr crystal (PBE-GGA).

Cell: 12.566 12.566 4.067 Å, 90.00 90.00 90.00°
Space group I-42d (No. 122)
Asymmetric unit:
Cs1 0.076 0.750 0.125 (multiplicity 8)
B1 0.000 0.000 0.500 (multiplicity 4)
Ir1 0.000 0.000 0.000 (multiplicity 4)

Values from the calculation:
Total DFT energy (no corrections): -3.86 eV/atom
D(E_F): 0.41 states/eV/cell
Offset from the most stable computed form: 0.00 kcal/mol of atoms
Formation enthalpy at 0 K: 0.450 eV/atom



Entry 6:
Entry from Alexandria via LeMat-Bulk: a relaxed LuMgHgPb crystal (PBE-GGA).

Cell: 7.332 7.332 7.332 Å, 90.00 90.00 90.00°
Space group F-43m (No. 216)
Asymmetric unit:
Lu1 0.000 0.000 0.000 (multiplicity 4)
Mg1 0.000 0.000 0.500 (multiplicity 4)
Hg1 0.250 0.250 0.250 (multiplicity 4)
Pb1 0.250 0.250 0.750 (multiplicity 4)

Values from the calculation:
Total DFT energy (no corrections): -2.79 eV/atom
D(E_F): 6.85 states/eV/cell
Formation enthalpy at 0 K: -0.255 eV/atom